*w*
This record from Alexandria describes crystalline Li2NiBiO4 at its relaxed geometry. The functional is PBE with a Hubbard U.

Unit cell a=6.2603 b=8.3152 c=8.3152 alpha=65.18 beta=112.10 gamma=112.10
With the nearest neighbours (Å) after each atom.
Atoms (fractional coordinates):
O 0.5000 0.2559 0.7441  1 Bi 2.19, 2 Ni 2.22, 3 Li 2.24-2.29
O 0.0000 0.2443 0.7557  1 Bi 2.19, 2 Ni 2.22, 3 Li 2.24-2.29
O 0.2500 0.0029 0.4970  3 Li 2.19-2.21, 2 Ni 2.21, 1 Bi 2.27
Bi 0.7500 0.2500 0.2500  6 O 2.25-2.27
O 0.7500 0.9971 0.5029  3 Li 2.19-2.21, 2 Ni 2.21, 1 Bi 2.26
O 0.8709 0.6062 0.6374  1 Ni 2.10, 2 Bi 2.19-2.25, 2 Li 2.20-2.24
O 0.2500 0.4971 0.0029  3 Li 2.19-2.21, 2 Ni 2.21, 1 Bi 2.27
O 0.8732 0.1376 0.1064  1 Ni 2.10, 2 Bi 2.19-2.25, 2 Li 2.20-2.24
Bi 0.5000 0.5001 0.4999  6 O 2.19
Ni 0.6242 0.6243 0.1242  6 O 2.10-2.22
Ni 0.3758 0.8758 0.3757  6 O 2.10-2.22
Li 0.7500 0.7499 0.7501  6 O 2.21-2.24
Li 0.3780 0.3777 0.8778  6 O 2.19-2.38
Li 0.5000 0.9998 0.0001  6 O 2.20-2.29
Li 0.8780 0.8777 0.3779  6 O 2.19-2.38
Bi 0.2500 0.7500 0.7500  6 O 2.25-2.27
Li 0.6220 0.1221 0.6223  6 O 2.19-2.38
O 0.7500 0.5030 0.9971  3 Li 2.19-2.21, 2 Ni 2.21, 1 Bi 2.27
O 0.5000 0.7443 0.2557  1 Bi 2.19, 2 Ni 2.22, 3 Li 2.24-2.29
O 0.6268 0.3936 0.3624  1 Ni 2.10, 2 Bi 2.19-2.25, 2 Li 2.20-2.24
O 0.1268 0.8936 0.8624  1 Ni 2.10, 2 Bi 2.19-2.25, 2 Li 2.20-2.24
O 0.6291 0.8626 0.8938  1 Ni 2.10, 2 Bi 2.19-2.25, 2 Li 2.20-2.24
Ni 0.1242 0.1243 0.6242  6 O 2.10-2.22
O 0.3732 0.6376 0.6064  1 Ni 2.10, 2 Bi 2.19-2.25, 2 Li 2.20-2.24
O 0.3709 0.1062 0.1375  1 Ni 2.10, 2 Bi 2.19-2.25, 2 Li 2.20-2.24
O 0.1291 0.3625 0.3938  1 Ni 2.10, 2 Bi 2.19-2.25, 2 Li 2.20-2.24
Li 0.2500 0.2499 0.2501  6 O 2.21-2.24
Li 0.0000 0.4998 0.5002  6 O 2.20-2.29
O 0.0000 0.7559 0.2441  1 Bi 2.19, 2 Ni 2.22, 3 Li 2.24-2.29
Bi 0.0000 0.0001 0.9999  6 O 2.19
Li 0.1219 0.6221 0.1223  6 O 2.19-2.38
Ni 0.8757 0.3758 0.8757  6 O 2.10-2.22

Calculated values
Magnetization, μB/cell: 8.1

*x*
This record from Alexandria describes crystalline Li2NiBiO4 at its relaxed geometry. The functional is PBE with a Hubbard U.

Unit cell a=6.2809 b=6.2809 c=6.2811 alpha=119.89 beta=119.89 gamma=87.44
With the nearest neighbours (Å) after each atom.
Atoms (fractional coordinates):
Li 0.0000 0.0000 0.5000  6 O 2.14-2.27
O 0.7798 0.2707 0.5261  2 Li 2.14-2.39, 2 Ni 2.16, 1 Bi 2.22
Bi 0.5000 0.5000 0.5000  6 O 2.22-2.29
Li 0.5000 0.5000 0.0000  6 O 2.14-2.27
Ni 0.0000 0.5000 0.0000  6 O 2.16-2.17
Li 0.5000 0.0000 0.5000  6 O 2.17-2.40
O 0.2506 0.2506 0.9975  3 Li 2.17-2.27, 1 Ni 2.17, 2 Bi 2.29
Li 0.5000 0.0000 0.0000  6 O 2.17-2.40
O 0.2494 0.2494 0.5025  3 Li 2.17-2.27, 1 Ni 2.17, 2 Bi 2.29
O 0.7506 0.7507 0.4975  3 Li 2.17-2.27, 1 Ni 2.17, 2 Bi 2.29
O 0.2202 0.7293 0.4739  2 Li 2.14-2.39, 2 Ni 2.16, 1 Bi 2.22
Ni 0.0000 0.5000 0.5000  6 O 2.16-2.17
Bi 0.0000 0.0000 0.0000  6 O 2.22-2.29
O 0.7493 0.7494 0.0025  3 Li 2.17-2.27, 1 Ni 2.17, 2 Bi 2.29
O 0.2293 0.7202 0.9739  2 Li 2.14-2.39, 2 Ni 2.16, 1 Bi 2.22
O 0.7707 0.2798 0.0261  2 Li 2.14-2.39, 2 Ni 2.16, 1 Bi 2.22

Calculated values
Magnetization, μB/cell: 5.2

Stability, lowest: *x*

*w*
This record from Alexandria describes crystalline Li2Ni2BiO6 at its relaxed geometry. The functional is PBE with a Hubbard U.

Unit cell a=5.3089 b=5.3090 c=10.1875 alpha=90.05 beta=90.06 gamma=119.22
With the nearest neighbours (Å) after each atom.
Atoms (fractional coordinates):
O 0.8410 0.4736 0.6153  2 Li 1.99-2.05, 2 Ni 2.06-2.19, 1 Bi 2.14
O 0.6597 0.0271 0.1153  2 Li 1.99-2.05, 2 Ni 2.06-2.19, 1 Bi 2.14
Li 0.6467 0.1482 0.7499  4 O 2.05-2.09
Ni 0.6559 0.3441 0.0000  6 O 2.06-2.18
O 0.1708 0.1304 0.6006  2 Ni 1.92-2.07, 1 Bi 2.14
Ni 0.1736 0.8264 0.5000  4 O 1.92-1.93
O 0.3258 0.9734 0.8931  1 Ni 1.93, 2 Li 2.09
Ni 0.8441 0.1559 0.5000  6 O 2.06-2.18
O 0.5264 0.1590 0.3847  2 Li 1.99-2.05, 2 Ni 2.06-2.19, 1 Bi 2.14
O 0.9729 0.3403 0.8847  2 Li 1.99-2.05, 2 Ni 2.06-2.19, 1 Bi 2.14
Li 0.3507 0.8491 0.2500  4 O 1.99-2.09
O 0.6295 0.6698 0.8994  2 Ni 1.92-2.07, 1 Bi 2.14
Ni 0.3264 0.6736 0.0000  4 O 1.92-1.93
O 0.0265 0.6742 0.1069  1 Ni 1.93, 2 Li 2.09
O 0.8696 0.8292 0.3994  2 Ni 1.92-2.07, 1 Bi 2.14
Bi 0.5120 0.4880 0.5000  6 O 2.14-2.19
Bi 0.9880 0.0120 0.0000  6 O 2.14-2.19
O 0.3301 0.3705 0.1005  2 Ni 1.92-2.07, 1 Bi 2.14
Li 0.8517 0.3533 0.2501  4 O 2.05-2.09
O 0.1737 0.5260 0.3931  1 Ni 1.93, 2 Li 2.08-2.09
Li 0.1509 0.6493 0.7500  4 O 1.99-2.09
O 0.4740 0.8263 0.6069  1 Ni 1.93, 2 Li 2.08-2.09

Calculated values
Magnetization, μB/cell: 6.0

*x*
This record from Alexandria describes crystalline Li2Ni2BiO6 at its relaxed geometry. The functional is PBE with a Hubbard U.

Unit cell a=5.3228 b=5.3228 c=5.2816 alpha=99.00 beta=99.00 gamma=119.21
With the nearest neighbours (Å) after each atom.
Atoms (fractional coordinates):
O 0.3978 0.0383 0.7251  2 Ni 1.99-2.20, 2 Li 2.02-2.15, 1 Bi 2.16
O 0.2805 0.2805 0.2918  2 Ni 2.02, 1 Bi 2.13
O 0.6022 0.9617 0.2749  2 Ni 1.99-2.20, 2 Li 2.02-2.15, 1 Bi 2.16
O 0.7195 0.7195 0.7082  2 Ni 2.02, 1 Bi 2.13
Bi 0.0000 0.0000 0.5000  6 O 2.13-2.16
O 0.0383 0.3978 0.7251  2 Ni 1.99-2.20, 2 Li 2.02-2.15, 1 Bi 2.16
Ni 0.6650 0.3350 0.5000  6 O 1.99-2.20
Li 0.2104 0.7896 0.0000  4 O 2.02-2.15
Ni 0.3350 0.6650 0.5000  6 O 1.99-2.20
Li 0.7896 0.2104 0.0000  4 O 2.02-2.15
O 0.9617 0.6022 0.2749  2 Ni 1.99-2.20, 2 Li 2.02-2.15, 1 Bi 2.16

Calculated values
Magnetization, μB/cell: 3.0

Stability, lowest: *x*